1.
# PBE RbTiPSe6, optimized geometry
data_RbTiPSe6
_space_group_name_H-M_alt 'P 3 1 2'
_space_group_IT_number 149
_space_group_name_Hall 'P 3 2'
_cell_length_a 6.1586
_cell_length_b 6.1586
_cell_length_c 8.4826
_cell_angle_alpha 90.00
_cell_angle_beta 90.00
_cell_angle_gamma 120.00
loop_
_atom_site_label
_atom_site_type_symbol
_atom_site_fract_x
_atom_site_fract_y
_atom_site_fract_z
Rb1 Rb 0.0000 0.0000 0.0000
Ti1 Ti 0.3333 0.6667 0.5000
P1 P 0.6667 0.3333 0.5000
Se1 Se 0.3636 0.0078 0.6759
# Crystal system: trigonal
# Total magnetic moment (μB/cell): 0.00
# Final energy (eV/atom): -4.3126



2.
# PBE In5Ga7, optimized geometry
data_In5Ga7
_space_group_name_H-M_alt 'P 1'
_space_group_IT_number 1
_space_group_name_Hall 'P 1'
_cell_length_a 4.919
_cell_length_b 7.901
_cell_length_c 8.223
_cell_angle_alpha 115.13
_cell_angle_beta 104.16
_cell_angle_gamma 96.19
loop_
_atom_site_label
_atom_site_type_symbol
_atom_site_fract_x
_atom_site_fract_y
_atom_site_fract_z
In1 In 0.000 0.000 0.000
In2 In 0.080 0.570 0.188
In3 In 0.423 0.298 0.958
In4 In 0.539 0.890 0.197
In5 In 0.721 0.693 0.497
Ga1 Ga 0.094 0.486 0.705
Ga2 Ga 0.149 0.003 0.486
Ga3 Ga 0.364 0.849 0.742
Ga4 Ga 0.418 0.308 0.456
Ga5 Ga 0.677 0.592 0.859
Ga6 Ga 0.767 0.153 0.691
Ga7 Ga 0.849 0.292 0.306
# ΔE_f (eV/atom): 0.035
# Crystal system: triclinic
# Total magnetic moment (μB/cell): 0.00



3.
# PBE LaCe2Tl3Se6, optimized geometry
data_LaCe2Tl3Se6
_space_group_name_H-M_alt 'C 1 2/m 1'
_space_group_IT_number 12
_space_group_name_Hall '-C 2y'
_cell_length_a 7.582
_cell_length_b 13.135
_cell_length_c 8.112
_cell_angle_alpha 90.00
_cell_angle_beta 108.14
_cell_angle_gamma 90.00
loop_
_atom_site_label
_atom_site_type_symbol
_atom_site_fract_x
_atom_site_fract_y
_atom_site_fract_z
La1 La 0.000 0.000 0.000
Ce1 Ce 0.000 0.333 0.000
Tl1 Tl 0.000 0.166 0.500
Tl2 Tl 0.000 0.500 0.500
Se1 Se 0.232 0.500 0.209
Se2 Se 0.239 0.169 0.210
# Crystal system: monoclinic
# Total magnetic moment (μB/cell): 4.01
# Final energy (eV/atom): -5.0974